(1)
Computed, not measured: a geometry-optimized Li2Sc2Ga2CuAu structure at the PBE level of DFT.

abc: 4.4430 4.4430 6.3362
angles: 90.00 90.00 90.00
With the nearest neighbours (Å) after each atom.
Fractional positions:
Li 0.0000 0.0000 0.0000  4 Ga 2.68, 4 Sc 2.69
Li 0.5000 0.5000 0.5000  4 Sc 2.77, 4 Ga 2.77
Sc 0.0000 0.5000 0.2392  4 Li 2.69-2.77, 2 Cu 2.69, 2 Au 2.77
Sc 0.5000 0.0000 0.7608  4 Li 2.69-2.77, 2 Cu 2.69, 2 Au 2.77
Ga 0.0000 0.5000 0.7624  4 Li 2.68-2.77, 2 Cu 2.68, 2 Au 2.77
Ga 0.5000 0.0000 0.2376  4 Li 2.68-2.77, 2 Cu 2.68, 2 Au 2.77
Cu 0.5000 0.5000 0.0000  4 Ga 2.68, 4 Sc 2.69
Au 0.0000 0.0000 0.5000  4 Sc 2.77, 4 Ga 2.77

total energy: -4.206 eV/atom
spin magnetization: 0.00 μB/atom
SG: No. 115

(2)
Computed, not measured: a geometry-optimized Li2GaCu2SnAu2 structure at the PBE level of DFT.

abc: 4.4042 4.4042 6.4356
angles: 90.00 90.00 90.00
With the nearest neighbours (Å) after each atom.
Fractional positions:
Li 0.0000 0.0000 0.0000  4 Cu 2.81, 4 Au 2.82, 4 Sn 3.11
Li 0.5000 0.5000 0.5000  4 Au 2.64, 4 Cu 2.65
Ga 0.0000 0.0000 0.5000  4 Au 2.64, 4 Cu 2.65
Cu 0.0000 0.5000 0.7279  4 Li 2.65-2.81, 2 Ga 2.65, 2 Sn 2.81, 1 Au 2.92
Cu 0.5000 0.0000 0.2721  4 Li 2.65-2.81, 2 Ga 2.65, 2 Sn 2.81, 1 Au 2.92
Sn 0.5000 0.5000 0.0000  4 Cu 2.81, 4 Au 2.82, 4 Li 3.11
Au 0.0000 0.5000 0.2741  4 Li 2.64-2.82, 2 Ga 2.64, 2 Sn 2.82, 1 Cu 2.92
Au 0.5000 0.0000 0.7259  4 Li 2.64-2.82, 2 Ga 2.64, 2 Sn 2.82, 1 Cu 2.92

total energy: -3.405 eV/atom
SG: No. 115

(3)
Computed, not measured: a geometry-optimized LuGaCuAu structure at the PBE level of DFT.

abc: 4.6628 4.6628 4.6628
angles: 60.00 60.00 60.00
With the nearest neighbours (Å) after each atom.
Fractional positions:
Lu 0.0000 0.0000 0.0000  4 Au 2.86, 4 Ga 2.86
Ga 0.2500 0.2500 0.2500  4 Cu 2.86, 4 Lu 2.86
Cu 0.5000 0.5000 0.5000  4 Au 2.86, 4 Ga 2.86
Au 0.7500 0.7500 0.7500  4 Cu 2.86, 4 Lu 2.86

total energy: -4.055 eV/atom
spin magnetization: 0.00 μB/atom
SG: No. 216
energy above the most stable polymorph in this dataset: 68 meV per atom

(4)
Computed, not measured: a geometry-optimized LuGaCuAu structure at the PBE level of DFT.

abc: 4.6481 4.6481 4.6481
angles: 60.00 60.00 60.00
With the nearest neighbours (Å) after each atom.
Fractional positions:
Lu 0.0000 0.0000 0.0000  4 Cu 2.85, 4 Au 2.85
Ga 0.5000 0.5000 0.5000  4 Cu 2.85, 4 Au 2.85
Cu 0.7500 0.7500 0.7500  4 Lu 2.85, 4 Ga 2.85
Au 0.2500 0.2500 0.2500  4 Ga 2.85, 4 Lu 2.85

total energy: -4.123 eV/atom
spin magnetization: 0.00 μB/atom
SG: No. 216
energy above the most stable polymorph in this dataset: 0 meV per atom

(5)
Computed, not measured: a geometry-optimized LuGaCuAu structure at the PBE level of DFT.

abc: 4.6116 4.6116 4.6116
angles: 60.00 60.00 60.00
With the nearest neighbours (Å) after each atom.
Fractional positions:
Lu 0.0000 0.0000 0.0000  4 Cu 2.82, 4 Ga 2.82
Ga 0.2500 0.2500 0.2500  4 Au 2.82, 4 Lu 2.82
Cu 0.7500 0.7500 0.7500  4 Au 2.82, 4 Lu 2.82
Au 0.5000 0.5000 0.5000  4 Cu 2.82, 4 Ga 2.82

total energy: -4.060 eV/atom
spin magnetization: 0.00 μB/atom
SG: No. 216
energy above the most stable polymorph in this dataset: 63 meV per atom

(6)
Computed, not measured: a geometry-optimized GaCuMoAu structure at the PBE level of DFT.

abc: 4.4559 4.4559 4.4559
angles: 60.00 60.00 60.00
With the nearest neighbours (Å) after each atom.
Fractional positions:
Ga 0.0000 0.0000 0.0000  4 Mo 2.73, 4 Cu 2.73
Cu 0.2500 0.2500 0.2500  4 Au 2.73, 4 Ga 2.73
Mo 0.7500 0.7500 0.7500  4 Ga 2.73, 4 Au 2.73
Au 0.5000 0.5000 0.5000  4 Mo 2.73, 4 Cu 2.73

total energy: -4.982 eV/atom
spin magnetization: 0.46 μB/atom
SG: No. 216
energy above the most stable polymorph in this dataset: 0 meV per atom